1.
Below is a geometry-optimized CdHg2SbI structure, with properties calculated at the PBE level.

a = 5.7225 Å, b = 5.7225 Å, c = 5.6267 Å
α = 90.00°, β = 90.00°, γ = 90.00°
Closest atoms and distances in Å follow each position.
Space group P4/mmm (No. 123)
Unique sites:
Cd: 0.0000 0.0000 0.0000  2 Sb 2.81
Hg: 0.0000 0.5000 0.5000  2 Sb 2.86
Sb: 0.0000 0.0000 0.5000  2 Cd 2.81, 4 Hg 2.86
I: 0.5000 0.5000 0.0000  8 Hg 4.01, 4 Cd 4.05

Values from the calculation:
Uncorrected formation energy: -0.026 eV per atom
Energy: -7.32 eV per formula unit



2.
Below is a geometry-optimized CdHg2SbI2 structure, with properties calculated at the PBE level.

a = 16.5119 Å, b = 7.2964 Å, c = 7.8658 Å
α = 90.00°, β = 90.00°, γ = 90.00°
Closest atoms and distances in Å follow each position.
Space group Cmc2_1 (No. 36)
Unique sites:
Cd: 0.0000 0.0280 0.0000  2 Sb 2.78
Hg: 0.1663 0.3596 0.7246  1 Sb 2.83, 1 I 2.95
Sb: 0.0000 0.2664 0.7250  2 Cd 2.78, 2 Hg 2.83
I: 0.1567 0.1904 0.2301  2 Hg 2.95-3.29

Values from the calculation:
Uncorrected formation energy: -0.106 eV per atom
Energy: -9.38 eV per formula unit



3.
Below is a geometry-optimized CdHg6Sb4I6 structure, with properties calculated at the PBE level.

a = 19.1688 Å, b = 19.6853 Å, c = 13.7544 Å
α = 90.00°, β = 91.03°, γ = 90.00°
Closest atoms and distances in Å follow each position.
Space group C2/c (No. 15)
Unique sites:
Cd: 0.2447 0.0226 0.1729  4 I 2.82-2.88
Hg: 0.0000 0.0008 0.2500  2 Sb 2.77
Hg: 0.0000 0.4582 0.2500  2 Sb 2.77
Hg: 0.1118 0.3567 0.0066  2 Sb 2.77
Hg: 0.1166 0.1301 0.9650  2 Sb 2.78
Hg: 0.1237 0.3685 0.4983  2 Sb 2.75-2.76
Hg: 0.1328 0.1181 0.4726  2 Sb 2.80-2.81, 1 I 2.98
Hg: 0.2460 0.2553 0.7502  2 Sb 2.79-2.80, 1 I 2.99
Sb: 0.0023 0.4367 0.4489  3 Hg 2.76-2.77, 1 Sb 2.86
Sb: 0.0576 0.0023 0.9361  3 Hg 2.77-2.81, 1 Sb 2.85
Sb: 0.1903 0.2500 0.9365  3 Hg 2.77-2.80, 1 Sb 2.85
Sb: 0.2456 0.3075 0.5618  3 Hg 2.75-2.80, 1 Sb 2.84
I: 0.0254 0.2215 0.5205  2 Hg 2.98-3.27
I: 0.1271 0.3328 0.2469  1 Hg 2.99
I: 0.1272 0.4258 0.7542  1 Cd 2.82
I: 0.1345 0.1197 0.1997  1 Cd 2.88
I: 0.1645 0.0961 0.7033  1 Cd 2.83
I: 0.2265 0.4746 0.0299  1 Cd 2.85

Values from the calculation:
Uncorrected formation energy: -0.231 eV per atom
Energy: -32.45 eV per formula unit



4.
Below is a geometry-optimized CdHgSbI2 structure, with properties calculated at the PBE level.

a = 5.9347 Å, b = 5.9347 Å, c = 5.7639 Å
α = 90.00°, β = 90.00°, γ = 90.00°
Closest atoms and distances in Å follow each position.
Space group P4/mmm (No. 123)
Unique sites:
Cd: 0.0000 0.0000 0.0000  2 Sb 2.88, 4 I 2.97
Hg: 0.5000 0.5000 0.5000  8 I 4.14, 4 Sb 4.20
Sb: 0.0000 0.0000 0.5000  2 Cd 2.88
I: 0.0000 0.5000 0.0000  2 Cd 2.97

Values from the calculation:
Uncorrected formation energy: 0.214 eV per atom
Energy: -7.37 eV per formula unit
Relative energy among the computed polymorphs: 0 meV per atom



5.
Below is a geometry-optimized CdSnHg2I structure, with properties calculated at the PBE level.

a = 5.6303 Å, b = 5.6303 Å, c = 5.6745 Å
α = 90.00°, β = 90.00°, γ = 90.00°
Closest atoms and distances in Å follow each position.
Space group P4/mmm (No. 123)
Unique sites:
Cd: 0.0000 0.0000 0.0000  2 Sn 2.84
Sn: 0.0000 0.0000 0.5000  4 Hg 2.82, 2 Cd 2.84
Hg: 0.0000 0.5000 0.5000  2 Sn 2.82
I: 0.5000 0.5000 0.0000  4 Cd 3.98, 8 Hg 4.00

Values from the calculation:
Uncorrected formation energy: -0.056 eV per atom
Energy: -7.35 eV per formula unit



6.
Below is a geometry-optimized CdHgTeI2 structure, with properties calculated at the PBE level.

a = 5.9349 Å, b = 5.9349 Å, c = 5.8988 Å
α = 90.00°, β = 90.00°, γ = 90.00°
Closest atoms and distances in Å follow each position.
Space group P4/mmm (No. 123)
Unique sites:
Cd: 0.0000 0.0000 0.0000  2 Te 2.95, 4 I 2.97
Hg: 0.5000 0.5000 0.5000  8 I 4.18, 4 Te 4.20
Te: 0.0000 0.0000 0.5000  2 Cd 2.95
I: 0.0000 0.5000 0.0000  2 Cd 2.97

Values from the calculation:
Uncorrected formation energy: 0.112 eV per atom
Energy: -6.90 eV per formula unit
Relative energy among the computed polymorphs: 0 meV per atom



7.
Below is a geometry-optimized CdHgTeI structure, with properties calculated at the PBE level.

a = 8.2639 Å, b = 4.6203 Å, c = 8.1421 Å
α = 90.00°, β = 106.56°, γ = 90.00°
Closest atoms and distances in Å follow each position.
Space group Cm (No. 8)
Unique sites:
Cd: 0.0000 0.0000 0.0000  3 Te 2.81-2.89, 1 Hg 2.82
Hg: 0.0807 0.0000 0.6866  1 Cd 2.82, 1 I 3.12
Te: 0.3652 0.0000 0.1076  3 Cd 2.81-2.89
I: 0.1996 0.5000 0.4782  3 Hg 3.12-3.18, 1 Te 3.46

Values from the calculation:
Uncorrected formation energy: -0.164 eV per atom
Energy: -6.57 eV per formula unit



8.
Below is a geometry-optimized Cd2HgTeI structure, with properties calculated at the PBE level.

a = 5.3542 Å, b = 5.3542 Å, c = 6.4744 Å
α = 90.00°, β = 90.00°, γ = 90.00°
Closest atoms and distances in Å follow each position.
Space group P4/mmm (No. 123)
Unique sites:
Cd: 0.0000 0.5000 0.0000  2 Hg 2.68
Hg: 0.0000 0.0000 0.0000  4 Cd 2.68
Te: 0.5000 0.5000 0.5000  4 I 3.79, 8 Cd 4.20
I: 0.0000 0.0000 0.5000  2 Hg 3.24

Values from the calculation:
Uncorrected formation energy: 0.328 eV per atom
Energy: -5.19 eV per formula unit



9.
Below is a geometry-optimized CdHgTe2I structure, with properties calculated at the PBE level.

a = 5.7516 Å, b = 5.7516 Å, c = 6.0196 Å
α = 90.00°, β = 90.00°, γ = 90.00°
Closest atoms and distances in Å follow each position.
Space group P4/mmm (No. 123)
Unique sites:
Cd: 0.0000 0.0000 0.0000  4 Te 2.88, 2 I 3.01
Hg: 0.5000 0.5000 0.5000  4 I 4.07, 8 Te 4.16
Te: 0.0000 0.5000 0.0000  2 Cd 2.88
I: 0.0000 0.0000 0.5000  2 Cd 3.01

Values from the calculation:
Uncorrected formation energy: 0.322 eV per atom
Energy: -7.44 eV per formula unit
Relative energy among the computed polymorphs: 0 meV per atom



10.
Below is a geometry-optimized TlCdHgI2 structure, with properties calculated at the PBE level.

a = 6.2231 Å, b = 6.2231 Å, c = 5.5108 Å
α = 90.00°, β = 90.00°, γ = 90.00°
Closest atoms and distances in Å follow each position.
Space group P4/mmm (No. 123)
Unique sites:
Tl: 0.0000 0.0000 0.0000  8 I 4.16, 4 Hg 4.40
Cd: 0.5000 0.5000 0.5000  2 Hg 2.76
Hg: 0.5000 0.5000 0.0000  2 Cd 2.76
I: 0.0000 0.5000 0.5000  2 Cd 3.11

Values from the calculation:
Uncorrected formation energy: -0.262 eV per atom
Energy: -7.99 eV per formula unit



11.
Below is a geometry-optimized ZnCdHg2I structure, with properties calculated at the PBE level.

a = 5.3371 Å, b = 5.3371 Å, c = 5.4209 Å
α = 90.00°, β = 90.00°, γ = 90.00°
Closest atoms and distances in Å follow each position.
Space group P4/mmm (No. 123)
Unique sites:
Zn: 0.0000 0.0000 0.0000  4 Hg 2.67, 2 Cd 2.71
Cd: 0.0000 0.0000 0.5000  2 Zn 2.71
Hg: 0.0000 0.5000 0.0000  2 Zn 2.67
I: 0.5000 0.5000 0.5000  4 Cd 3.77, 8 Hg 3.80

Values from the calculation:
Uncorrected formation energy: -0.028 eV per atom
Energy: -4.48 eV per formula unit
Relative energy among the computed polymorphs: 0 meV per atom